1.
VASP calculation (PBE) on LaNd2Os after structural relaxation.

Structure (extended XYZ):
```
4
Lattice="1.951 1.127 10.741 -1.951 1.127 10.741 0.000 -2.253 10.741" Properties=species:S:1:pos:R:3 pbc="T T T"
La 0.000 0.000 0.000
Nd 0.000 0.000 3.692
Nd 0.000 0.000 28.531
Os 0.000 0.000 16.112
```

Values from the calculation:
Calculated formation energy: 1.3 eV per formula unit
SG: R-3m
Excess energy over the best structure of this formula in the dataset: 1.81 eV/f.u.



2.
VASP calculation (PBE) on LaNd2Os after structural relaxation.

Structure (extended XYZ):
```
8
Lattice="2.027 -6.276 0.000 2.027 6.276 0.000 0.000 0.000 9.563" Properties=species:S:1:pos:R:3 pbc="T T T"
La 2.027 5.232 7.172
La 2.027 -5.232 2.391
Nd 2.027 1.838 5.463
Nd 2.027 1.838 8.881
Nd 2.027 -1.838 0.682
Nd 2.027 -1.838 4.099
Os 2.027 3.031 2.391
Os 2.027 -3.031 7.172
```

Values from the calculation:
Calculated formation energy: -0.4 eV per formula unit
SG: Cmcm
Excess energy over the best structure of this formula in the dataset: 0.08 eV/f.u.



3.
VASP calculation (PBE) on La2NdOs2 after structural relaxation.

Structure (extended XYZ):
```
5
Lattice="5.735 -2.203 0.000 5.735 2.203 0.000 -3.396 0.000 5.316" Properties=species:S:1:pos:R:3 pbc="T T T"
La 1.576 0.000 1.103
La 6.499 0.000 4.213
Nd -1.698 0.000 2.658
Os 2.777 0.000 4.169
Os 5.298 0.000 1.147
```

Values from the calculation:
Calculated formation energy: 0.0 eV per formula unit
SG: C2/m



4.
VASP calculation (PBE) on La4NdOs2 after structural relaxation.

Structure (extended XYZ):
```
14
Lattice="8.033 0.000 0.000 0.000 6.792 0.000 -2.987 0.000 7.470" Properties=species:S:1:pos:R:3 pbc="T T T"
La -0.905 1.698 2.816
La 1.003 5.094 2.366
La 1.083 0.004 5.679
La 1.083 3.392 5.679
La 3.964 3.401 1.791
La 3.964 6.788 1.791
La 4.044 1.698 5.104
La 5.951 5.094 4.654
Nd 1.169 1.698 0.173
Nd 3.878 5.094 7.298
Os -0.954 5.094 7.348
Os 1.746 1.698 3.039
Os 3.301 5.094 4.431
Os 6.001 1.698 0.122
```

Values from the calculation:
Calculated formation energy: -0.4 eV per formula unit
SG: P2_1/m



5.
VASP calculation (PBE) on LaNdOs after structural relaxation.

Structure (extended XYZ):
```
3
Lattice="-1.755 1.755 7.087 1.755 -1.755 7.087 1.755 1.755 -7.087" Properties=species:S:1:pos:R:3 pbc="T T T"
La 0.000 0.000 0.000
Nd 0.000 0.000 10.724
Os 0.000 0.000 5.346
```

Values from the calculation:
Calculated formation energy: -0.1 eV per formula unit
SG: I4mm
Excess energy over the best structure of this formula in the dataset: 0.13 eV/f.u.



6.
VASP calculation (PBE) on LaNd2Os after structural relaxation.

Structure (extended XYZ):
```
16
Lattice="7.460 0.000 0.000 0.000 9.811 0.000 0.000 0.000 6.599" Properties=species:S:1:pos:R:3 pbc="T T T"
La 0.387 2.453 0.953
La 3.343 7.358 4.253
La 4.117 2.453 2.346
La 7.073 7.358 5.646
Nd 1.276 0.663 4.431
Nd 1.276 4.242 4.431
Nd 2.454 5.568 1.132
Nd 2.454 9.148 1.132
Nd 5.006 0.663 5.467
Nd 5.006 4.242 5.467
Nd 6.184 5.568 2.168
Nd 6.184 9.148 2.168
Os 0.885 7.358 3.006
Os 2.845 2.453 6.306
Os 4.616 7.358 0.293
Os 6.575 2.453 3.593
```

Values from the calculation:
Calculated formation energy: -0.5 eV per formula unit
SG: Pnma
Excess energy over the best structure of this formula in the dataset: 0.00 eV/f.u.



7.
VASP calculation (PBE) on LaNdOs after structural relaxation.

Structure (extended XYZ):
```
3
Lattice="4.240 0.000 0.000 -2.120 3.672 0.000 0.000 0.000 6.256" Properties=species:S:1:pos:R:3 pbc="T T T"
La 0.000 0.000 0.000
Nd 2.120 1.224 3.366
Os 0.000 2.448 4.843
```

Values from the calculation:
Calculated formation energy: 0.0 eV per formula unit
SG: P3m1
Excess energy over the best structure of this formula in the dataset: 0.25 eV/f.u.



8.
VASP calculation (PBE) on La3Nd2Os2 after structural relaxation.

Structure (extended XYZ):
```
7
Lattice="6.235 -2.028 0.000 6.235 2.028 0.000 -3.584 0.000 8.151" Properties=species:S:1:pos:R:3 pbc="T T T"
La 0.000 0.000 0.000
La -0.013 0.000 3.454
La 8.900 0.000 4.697
Nd 3.438 0.000 1.528
Nd 5.449 0.000 6.624
Os 1.235 0.000 6.289
Os 7.652 0.000 1.863
```

Values from the calculation:
Calculated formation energy: -0.8 eV per formula unit
SG: C2/m



9.
VASP calculation (PBE) on LaNdOs after structural relaxation.

Structure (extended XYZ):
```
3
Lattice="0.000 3.506 3.506 3.506 0.000 3.506 3.506 3.506 0.000" Properties=species:S:1:pos:R:3 pbc="T T T"
La 0.000 0.000 0.000
Nd 3.506 3.506 3.506
Os 1.753 1.753 1.753
```

Values from the calculation:
Calculated formation energy: -0.3 eV per formula unit
SG: F-43m
Excess energy over the best structure of this formula in the dataset: 0.00 eV/f.u.



10.
VASP calculation (PBE) on La3NdTlOs after structural relaxation.

Structure (extended XYZ):
```
12
Lattice="8.187 -3.889 0.000 8.187 3.889 0.000 -2.162 0.000 5.868" Properties=species:S:1:pos:R:3 pbc="T T T"
La 4.316 1.995 5.256
La 1.428 0.000 3.824
La 9.896 1.995 0.612
La 4.316 -1.995 5.256
La 12.784 0.000 2.044
La 9.896 -1.995 0.612
Nd 7.106 1.516 2.934
Nd 7.106 -1.516 2.934
Tl 4.329 0.000 1.758
Tl 9.883 0.000 4.110
Os -0.518 0.000 1.424
Os 14.730 0.000 4.444
```

Values from the calculation:
Calculated formation energy: -1.5 eV per formula unit
SG: C2/m



11.
VASP calculation (PBE) on LaNd2P3 after structural relaxation.

Structure (extended XYZ):
```
6
Lattice="-2.104 2.972 6.304 2.104 -2.972 6.304 2.104 2.972 -6.304" Properties=species:S:1:pos:R:3 pbc="T T T"
La 0.000 0.000 0.000
Nd 0.000 0.000 4.203
Nd 0.000 0.000 8.404
P 2.104 0.000 2.130
P 0.000 2.972 0.000
P 0.000 2.972 4.174
```

Values from the calculation:
Calculated formation energy: -9.3 eV per formula unit
SG: Immm



12.
VASP calculation (PBE) on La5NdP6 after structural relaxation.

Structure (extended XYZ):
```
12
Lattice="3.688 -6.388 0.000 3.688 6.388 0.000 -2.458 0.000 6.955" Properties=species:S:1:pos:R:3 pbc="T T T"
La 0.000 0.000 0.000
La 2.459 4.260 3.478
La 3.688 2.131 0.000
La 3.688 -2.131 0.000
La 2.459 -4.260 3.478
Nd 2.459 0.000 3.478
P 1.239 2.113 1.749
P 0.019 0.000 5.207
P 1.239 -2.113 1.749
P 3.679 2.113 5.206
P 4.899 0.000 1.749
P 3.679 -2.113 5.206
```

Values from the calculation:
Calculated formation energy: -18.8 eV per formula unit
SG: C2/m



13.
VASP calculation (PBE) on La5Nd3P8 after structural relaxation.

Structure (extended XYZ):
```
16
Lattice="4.236 2.446 6.919 -4.236 2.446 6.919 0.000 -4.892 6.919" Properties=species:S:1:pos:R:3 pbc="T T T"
La 0.000 0.000 0.000
La -2.118 -1.223 6.919
La -2.118 1.223 13.839
La 0.000 2.446 6.919
La 0.000 0.000 10.379
Nd -4.236 0.000 10.379
Nd -2.118 1.223 3.460
Nd 2.118 1.223 3.460
P -2.131 -1.230 12.088
P 0.000 0.000 5.160
P 0.000 -2.460 8.669
P -2.131 1.230 8.669
P 2.131 -1.230 12.088
P 0.000 2.460 12.088
P 0.000 0.000 15.597
P 2.131 1.230 8.669
```

Values from the calculation:
Calculated formation energy: -24.9 eV per formula unit
SG: R-3m



14.
VASP calculation (PBE) on LaNd2P after structural relaxation.

Structure (extended XYZ):
```
4
Lattice="1.980 1.143 9.622 -1.980 1.143 9.622 0.000 -2.286 9.622" Properties=species:S:1:pos:R:3 pbc="T T T"
La 0.000 0.000 0.000
Nd 0.000 0.000 6.506
Nd 0.000 0.000 22.358
P 0.000 0.000 14.432
```

Values from the calculation:
Calculated formation energy: -2.7 eV per formula unit
SG: R-3m



15.
VASP calculation (PBE) on La2NdP after structural relaxation.

Structure (extended XYZ):
```
4
Lattice="1.999 1.154 9.800 -1.999 1.154 9.800 0.000 -2.308 9.800" Properties=species:S:1:pos:R:3 pbc="T T T"
La 0.000 0.000 6.664
La 0.000 0.000 22.737
Nd 0.000 0.000 0.000
P 0.000 0.000 14.700
```

Values from the calculation:
Calculated formation energy: -2.6 eV per formula unit
SG: R-3m
Excess energy over the best structure of this formula in the dataset: 0.08 eV/f.u.



16.
VASP calculation (PBE) on LaNd3P after structural relaxation.

Structure (extended XYZ):
```
5
Lattice="5.620 0.000 0.000 0.000 5.620 0.000 0.000 0.000 5.620" Properties=species:S:1:pos:R:3 pbc="T T T"
La 0.000 0.000 0.000
Nd 0.000 2.810 2.810
Nd 2.810 0.000 2.810
Nd 2.810 2.810 0.000
P 2.810 2.810 2.810
```

Values from the calculation:
Calculated formation energy: -2.0 eV per formula unit
SG: Pm-3m



17.
VASP calculation (PBE) on La3Nd2P4 after structural relaxation.

Structure (extended XYZ):
```
9
Lattice="7.000 -2.114 0.000 7.000 2.114 0.000 -5.250 0.000 8.938" Properties=species:S:1:pos:R:3 pbc="T T T"
La 0.000 0.000 0.000
La -1.406 0.000 7.184
La 10.157 0.000 1.754
Nd 2.303 0.000 5.458
Nd 6.448 0.000 3.480
P 1.230 0.000 2.748
P 5.061 0.000 0.917
P 3.690 0.000 8.021
P 7.521 0.000 6.190
```

Values from the calculation:
Calculated formation energy: -12.5 eV per formula unit
SG: C2/m



18.
VASP calculation (PBE) on LaNd3P4 after structural relaxation.

Structure (extended XYZ):
```
8
Lattice="5.932 0.000 0.000 0.000 5.932 0.000 0.000 0.000 5.932" Properties=species:S:1:pos:R:3 pbc="T T T"
La 0.000 0.000 0.000
Nd 0.000 2.966 2.966
Nd 2.966 0.000 2.966
Nd 2.966 2.966 0.000
P 0.000 0.000 2.966
P 0.000 2.966 0.000
P 2.966 0.000 0.000
P 2.966 2.966 2.966
```

Values from the calculation:
Calculated formation energy: -12.4 eV per formula unit
SG: Pm-3m



19.
VASP calculation (PBE) on La2NdP after structural relaxation.

Structure (extended XYZ):
```
4
Lattice="2.002 1.156 9.679 -2.002 1.156 9.679 0.000 -2.312 9.679" Properties=species:S:1:pos:R:3 pbc="T T T"
La 0.000 0.000 0.000
La 0.000 0.000 6.162
Nd 0.000 0.000 22.430
P 0.000 0.000 17.597
```

Values from the calculation:
Calculated formation energy: -2.7 eV per formula unit
SG: R3m
Excess energy over the best structure of this formula in the dataset: 0.00 eV/f.u.



20.
VASP calculation (PBE) on LaNd3P4 after structural relaxation.

Structure (extended XYZ):
```
8
Lattice="4.196 -5.929 0.000 4.196 5.929 0.000 0.000 0.000 4.197" Properties=species:S:1:pos:R:3 pbc="T T T"
La 0.000 0.000 0.000
Nd 2.098 2.965 2.098
Nd 2.098 -2.965 2.098
Nd 4.196 0.000 0.000
P 4.196 2.949 0.000
P 2.122 0.000 2.098
P 6.270 0.000 2.098
P 4.196 -2.949 0.000
```

Values from the calculation:
Calculated formation energy: -12.4 eV per formula unit
SG: Cmmm